ZrAs2Os: relaxed, GGA-PBE.

Cell and atoms, written as extended XYZ:
```
4
Lattice="4.0003 0.0000 0.0000 0.0000 3.1303 -0.0332 0.0000 0.0719 5.6296" Properties=species:S:1:pos:R:3 pbc="T T T"
As 0.0000 0.8320 5.6127
As 0.0000 0.8410 2.8151
Zr 2.0001 2.4017 4.1973
Os 2.0001 0.8006 1.3991
```

Space group = P2/m, No. 10
Excess energy over the best structure of this formula in the dataset = 0.183 eV/atom